Entry 1:
DFT (PBE-GGA) results for NpV2Ga after structural relaxation.

```
NpV2Ga
1.0
4.341 0.000 0.000
0.000 4.341 0.000
0.000 0.000 3.278
Np V Ga
1 2 1
direct
0.000 0.000 0.000
0.000 0.500 0.500
0.500 0.000 0.500
0.500 0.500 0.000
```

Output
Space group: P4/mmm, No. 123

Entry 2:
DFT (PBE-GGA) results for LiHoGa2 after structural relaxation.

```
LiHoGa2
1.0
3.351 0.000 0.000
0.000 3.351 0.000
0.000 0.000 6.748
Li Ho Ga
1 1 2
direct
0.000 0.000 0.000
0.000 0.000 0.500
0.500 0.500 0.205
0.500 0.500 0.795
```

Output
Space group: P4/mmm, No. 123

Number 1: DFT formation energy 0.052 eV per atom, VASP energy -34.0 eV per formula unit, distance to the lowest polymorph of the same formula 0.000 eV per atom. Number 2: DFT formation energy -0.435 eV per atom, VASP energy -14.3 eV per formula unit, distance to the lowest polymorph of the same formula 0.040 eV per atom.